Cs2MgHgAu | GGA-PBE | relaxed

Summary:
* total energy: -7.6 eV/cell
* V: 252.8 Å³/cell
* size of the total moment: 0.0 μB per cell
* space group: P4/mmm (123)

Cell: 6.8962 6.8962 5.3151 Å, 90.00 90.00 90.00°
Sites, in units of the cell vectors:
1 Cs 0.0000 0.5000 0.0000
2 Cs 0.5000 0.0000 0.0000
3 Mg 0.0000 0.0000 0.5000
4 Hg 0.5000 0.5000 0.5000
5 Au 0.0000 0.0000 0.0000

=====

Cs2NaHg7Au2 | GGA-PBE | relaxed

Summary:
* total energy: -14.1 eV/cell
* V: 388.8 Å³/cell
* size of the total moment: 0.0 μB per cell
* space group: C2/m (12)

Cell: 4.8922 4.8922 16.4316 Å, 96.14 96.14 89.62°
Sites, in units of the cell vectors:
1 Cs 0.1200 0.1200 0.3318
2 Cs 0.8800 0.8800 0.6682
3 Na 0.0000 0.0000 0.0000
4 Hg 0.0513 0.5524 0.1435
5 Hg 0.3371 0.3371 0.5626
6 Hg 0.4476 0.9487 0.8565
7 Hg 0.5000 0.5000 0.0000
8 Hg 0.5524 0.0513 0.1435
9 Hg 0.6629 0.6629 0.4374
10 Hg 0.9487 0.4476 0.8565
11 Au 0.4082 0.4082 0.7441
12 Au 0.5918 0.5918 0.2559

=====

CsNaHgAu | GGA-PBE | relaxed

Summary:
* total energy: -6.9 eV/cell
* V: 145.8 Å³/cell
* size of the total moment: 0.0 μB per cell
* space group: Cm (8)

Cell: 5.1673 5.1673 6.9694 Å, 111.80 111.80 60.16°
Sites, in units of the cell vectors:
1 Cs 0.0000 0.0000 0.0000
2 Na 0.5134 0.5134 0.5406
3 Hg 0.7993 0.7993 0.3973
4 Au 0.1952 0.1952 0.5873

=====

Cs2NaHgAu2 | GGA-PBE | relaxed

Summary:
* total energy: -23.2 eV/cell
* V: 446.3 Å³/cell
* size of the total moment: 0.0 μB per cell
* space group: Ibam (72)

Cell: 9.6121 9.6121 9.6121 Å, 135.85 66.57 132.85°
Sites, in units of the cell vectors:
1 Cs 0.1697 0.2375 0.4071
2 Cs 0.3303 0.7375 0.0678
3 Cs 0.6697 0.2625 0.9322
4 Cs 0.8303 0.7625 0.5929
5 Na 0.2500 0.7500 0.5000
6 Na 0.7500 0.2500 0.5000
7 Hg 0.2500 0.2500 0.0000
8 Hg 0.7500 0.7500 0.0000
9 Au 0.0937 0.7472 0.8408
10 Au 0.4063 0.2472 0.6535
11 Au 0.5937 0.7528 0.3465
12 Au 0.9063 0.2528 0.1592

=====

Cs2NaHg4Au3 | GGA-PBE | relaxed

Summary:
* total energy: -16.3 eV/cell
* V: 312.8 Å³/cell
* size of the total moment: 0.0 μB per cell
* space group: P-4m2 (115)

Cell: 5.0464 5.0464 12.2824 Å, 90.00 90.00 90.00°
Sites, in units of the cell vectors:
1 Cs 0.0000 0.5000 0.2362
2 Cs 0.5000 0.0000 0.7638
3 Na 0.0000 0.0000 0.5000
4 Hg 0.0000 0.0000 0.0000
5 Hg 0.0000 0.5000 0.6379
6 Hg 0.5000 0.0000 0.3621
7 Hg 0.5000 0.5000 0.0000
8 Au 0.0000 0.5000 0.8723
9 Au 0.5000 0.0000 0.1277
10 Au 0.5000 0.5000 0.5000

=====

CsNa2HgAu | GGA-PBE | relaxed

Summary:
* total energy: -7.5 eV/cell
* V: 189.2 Å³/cell
* size of the total moment: 0.0 μB per cell
* space group: P4/mmm (123)

Cell: 5.8581 5.8581 5.5129 Å, 90.00 90.00 90.00°
Sites, in units of the cell vectors:
1 Cs 0.0000 0.0000 0.0000
2 Na 0.0000 0.5000 0.5000
3 Na 0.5000 0.0000 0.5000
4 Hg 0.5000 0.5000 0.5000
5 Au 0.5000 0.5000 0.0000